[1]
Density functional theory data (PBE) for an optimized crystal structure of Ca3GaHg2Rh3.

Summary:
* SG: No. 189
* ΔH_f (0 K): -0.454 eV/atom

Cell: 3.7431 7.6025 7.6025 Å, 120.00 90.00 90.00°
Fractional positions:
Ca: 0.0000 0.0000 0.3781
Ca: 0.0000 0.6219 0.6219
Ca: 0.0000 0.3781 0.0000
Ga: 0.0000 0.0000 0.0000
Hg: 0.5000 0.3333 0.6667
Hg: 0.5000 0.6667 0.3333
Rh: 0.5000 0.7679 0.0000
Rh: 0.5000 0.2321 0.2321
Rh: 0.5000 0.0000 0.7679

=====

[2]
Density functional theory data (PBE) for an optimized crystal structure of CaGaHgSb.

Summary:
* SG: No. 216
* uncorrected formation energy: -353 meV per atom

Cell: 5.3496 5.3496 5.3496 Å, 60.00 60.00 60.00°
Fractional positions:
Sb: 0.0000 0.0000 0.0000
Ca: 0.7500 0.7500 0.7500
Hg: 0.5000 0.5000 0.5000
Ga: 0.2500 0.2500 0.2500

=====

[3]
Density functional theory data (PBE) for an optimized crystal structure of CaTbGaHg.

Summary:
* excess energy over the best structure of this formula in the dataset: 6 meV/atom
* SG: No. 216
* ΔH_f (0 K): -0.520 eV/atom

Cell: 5.2274 5.2274 5.2274 Å, 60.00 60.00 60.00°
Fractional positions:
Ca: 0.5000 0.5000 0.5000
Tb: 0.0000 0.0000 0.0000
Hg: 0.7500 0.7500 0.7500
Ga: 0.2500 0.2500 0.2500

=====

[4]
Density functional theory data (PBE) for an optimized crystal structure of CaTbGaHg.

Summary:
* excess energy over the best structure of this formula in the dataset: 0 meV/atom
* SG: No. 99
* ΔH_f (0 K): -0.526 eV/atom

Cell: 3.6210 3.6210 7.6797 Å, 90.00 90.00 90.00°
Fractional positions:
Ca: 0.0000 0.0000 0.3657
Tb: 0.0000 0.0000 0.8446
Ga: 0.5000 0.5000 0.6152
Hg: 0.5000 0.5000 0.1024

=====

Uncorrected energy: -3.975, -2.716, -3.011, -3.016 (eV per atom)